Record 1
A plane-wave DFT calculation with PBE was carried out for a relaxed structure of MgMn2Mo.

Structure (extended XYZ):
```
4
Lattice="-0.849 -0.576 -4.906 -4.438 -1.836 -1.433 1.692 3.596 3.053" Properties=species:S:1:pos:R:3 pbc="T T T"
Mn -2.695 0.277 -0.774
Mn 0.000 0.000 0.000
Mo -2.644 -1.206 -3.169
Mg -0.900 0.907 -2.511
```

Calculated values
Density of states at the Fermi level ... 3.7 states/eV/f.u.

Record 2
A plane-wave DFT calculation with PBE was carried out for a relaxed structure of Mg2MnMo.

Structure (extended XYZ):
```
4
Lattice="4.267 0.000 0.000 0.000 2.791 0.033 0.000 1.222 5.646" Properties=species:S:1:pos:R:3 pbc="T T T"
Mn 0.000 2.141 3.015
Mo 2.134 2.809 4.087
Mg 0.000 3.953 5.601
Mg 2.134 1.130 1.496
```

Calculated values
Density of states at the Fermi level ... 3.0 states/eV/f.u.
Energy relative to the lowest polymorph listed for this composition ... 128 meV/atom

Record 3
A plane-wave DFT calculation with PBE was carried out for a relaxed structure of Mg2MnMo.

Structure (extended XYZ):
```
4
Lattice="4.772 -0.005 0.001 3.966 2.654 0.001 0.481 0.146 5.324" Properties=species:S:1:pos:R:3 pbc="T T T"
Mg 6.953 2.108 4.000
Mg 8.720 2.643 0.026
Mn 4.598 1.394 2.476
Mo 2.294 0.695 1.488
```

Calculated values
Density of states at the Fermi level ... 3.8 states/eV/f.u.
Energy relative to the lowest polymorph listed for this composition ... 196 meV/atom

Record 4
A plane-wave DFT calculation with PBE was carried out for a relaxed structure of Mg2MnMo.

Structure (extended XYZ):
```
4
Lattice="-2.564 2.372 -3.127 0.052 -2.157 -1.679 -4.299 -2.714 1.467" Properties=species:S:1:pos:R:3 pbc="T T T"
Mo -4.468 -2.467 -1.723
Mg -0.006 -0.085 -0.060
Mg -2.118 -2.350 -0.046
Mn -2.344 -0.032 -1.617
```

Calculated values
Density of states at the Fermi level ... 3.2 states/eV/f.u.
Energy relative to the lowest polymorph listed for this composition ... 210 meV/atom

Here are the calculated magnetic moment numbers, same order: 3.468; 1.824; 2.386; 2.374 (μB/f.u.).
Here are the calculated DFT formation energy numbers, same order: 0.35; 0.29; 0.36; 0.37 (eV/atom).